#1
LiPmSeO | PBE | relaxed

POSCAR file:
```
LiPmSeO
1.0
4.000 0.000 0.000
0.000 4.000 0.000
0.000 0.000 8.916
Se Pm O Li
2 2 2 2
Direct
0.250 0.250 0.674
0.750 0.750 0.326
0.750 0.750 0.869
0.250 0.250 0.131
0.250 0.750 0.000
0.750 0.250 0.000
0.250 0.750 0.500
0.750 0.250 0.500
```

Output
total moment	0.00	μB per formula unit
symmetry	P4/nmm

---

#2
LiPmSeO | PBE | relaxed

POSCAR file:
```
LiPmSeO
1.0
-4.047 -1.888 -3.915
3.442 -6.448 -0.449
-3.009 -1.985 5.431
O Se Pm Li
4 4 4 4
Direct
0.428 0.812 0.430
0.572 0.312 0.070
0.572 0.188 0.570
0.428 0.688 0.930
0.129 0.442 0.285
0.871 0.558 0.715
0.871 0.942 0.215
0.129 0.058 0.785
0.611 0.901 0.740
0.389 0.401 0.760
0.611 0.599 0.240
0.389 0.099 0.260
0.123 0.736 0.987
0.877 0.236 0.513
0.123 0.764 0.487
0.877 0.264 0.013
```

Output
total moment	0.00	μB per formula unit
symmetry	P2_1/c

---

The data favor #1; the next most stable structure lies 120 meV per atom above it.

---

#1
LiPmTeO | PBE | relaxed

POSCAR file:
```
LiPmTeO
1.0
-1.779 3.202 1.723
-5.175 -0.725 -3.997
-3.089 -4.285 4.775
Pm O Li Te
2 2 2 2
Direct
0.500 0.958 0.951
0.500 0.042 0.451
0.500 0.205 0.174
0.500 0.795 0.674
0.000 0.681 0.640
0.000 0.319 0.140
0.000 0.260 0.725
0.000 0.740 0.225
```

Output
total moment	0.00	μB per formula unit
symmetry	Pmc2_1

---

#2
LiPmTeO | PBE | relaxed

POSCAR file:
```
LiPmTeO
1.0
-0.300 0.607 6.327
-3.296 -6.910 0.507
5.972 -2.882 -0.457
O Li Te Pm
4 4 4 4
Direct
0.429 0.676 0.913
0.571 0.176 0.587
0.429 0.824 0.413
0.571 0.324 0.087
0.852 0.268 0.018
0.852 0.232 0.518
0.148 0.768 0.482
0.148 0.732 0.982
0.135 0.049 0.784
0.865 0.549 0.716
0.135 0.451 0.284
0.865 0.951 0.216
0.402 0.392 0.773
0.402 0.108 0.273
0.598 0.892 0.727
0.598 0.608 0.227
```

Output
total moment	0.00	μB per formula unit
symmetry	P2_1/c

---

The data favor #2; the next most stable structure lies 154 meV per atom above it.

---

#1
Li8Pr4O11 | PBE | relaxed

POSCAR file:
```
Li8Pr4O11
1.0
-5.298 -11.584 -1.104
-2.659 5.764 0.264
1.550 -0.371 -4.419
O Li Pr
11 8 4
Direct
0.978 0.642 0.385
0.409 0.851 0.704
0.273 0.852 0.197
0.647 0.290 0.245
0.869 0.790 0.873
0.222 0.173 0.834
0.081 0.362 0.606
0.501 0.412 0.608
0.292 0.357 0.161
0.645 0.809 0.239
0.832 0.256 0.799
0.695 0.596 0.583
0.298 0.175 0.482
0.462 0.033 0.416
0.819 0.529 0.099
0.809 0.448 0.559
0.262 0.563 0.885
0.025 0.010 0.653
0.238 0.584 0.406
0.467 0.285 0.048
0.593 0.890 0.791
0.075 0.709 0.924
0.885 0.137 0.248
```

Output
total moment	0.00	μB per formula unit
symmetry	P1

---

#2
Li8Pr4O11 | PBE | relaxed

POSCAR file:
```
Li8Pr4O11
1.0
-8.905 8.099 2.516
5.970 0.760 0.895
-0.067 0.634 -4.892
O Li Pr
11 8 4
Direct
0.720 0.113 0.739
0.627 0.205 0.228
0.307 0.309 0.934
0.245 0.820 0.217
0.942 0.590 0.259
0.525 0.386 0.619
0.395 0.782 0.692
0.091 0.496 0.783
0.107 0.221 0.291
0.873 0.764 0.741
0.757 0.819 0.209
0.767 0.493 0.010
0.280 0.356 0.557
0.230 0.495 0.042
0.803 0.376 0.489
0.200 0.614 0.505
0.698 0.619 0.497
0.940 0.902 0.418
0.555 0.092 0.557
0.921 0.196 0.027
0.085 0.877 0.958
0.427 0.134 0.028
0.565 0.770 0.943
```

Output
total moment	0.72	μB per formula unit
symmetry	P1

---

The data favor #1; the next most stable structure lies 105 meV per atom above it.

---

#1
LiPrSO | PBE | relaxed

POSCAR file:
```
LiPrSO
1.0
5.797 0.000 0.000
0.000 9.358 0.000
0.000 0.000 5.700
Pr Li S O
4 4 4 4
Direct
0.505 0.692 0.078
0.005 0.308 0.078
0.995 0.692 0.578
0.495 0.308 0.578
0.130 0.041 0.466
0.630 0.959 0.466
0.370 0.041 0.966
0.870 0.959 0.966
0.991 0.354 0.578
0.491 0.646 0.578
0.009 0.646 0.078
0.509 0.354 0.078
0.424 0.089 0.628
0.924 0.911 0.628
0.076 0.089 0.128
0.576 0.911 0.128
```

Output
total moment	0.00	μB per formula unit
symmetry	Pca2_1

---

#2
LiPrSO | PBE | relaxed

POSCAR file:
```
LiPrSO
1.0
-2.421 3.204 -1.980
1.391 -1.251 -3.723
-5.312 -4.339 -0.526
O Pr Li S
2 2 2 2
Direct
0.500 0.237 0.125
0.500 0.763 0.625
0.500 0.261 0.465
0.500 0.739 0.965
0.000 0.765 0.621
0.000 0.235 0.121
0.000 0.736 0.280
0.000 0.264 0.780
```

Output
total moment	0.00	μB per formula unit
symmetry	Pmc2_1

---

The data favor #2; the next most stable structure lies 101 meV per atom above it.

---

#1
Li3Pt2O6 | PBE | relaxed

POSCAR file:
```
Li3Pt2O6
1.0
4.733 0.659 -2.115
-0.723 -3.210 4.059
-2.121 -2.751 -3.598
Li O Pt
3 6 2
Direct
0.659 0.341 0.500
0.341 0.659 0.500
0.500 0.500 0.000
0.434 0.076 0.768
0.566 0.924 0.232
0.759 0.759 0.769
0.241 0.241 0.231
0.924 0.566 0.232
0.076 0.434 0.768
0.838 0.162 0.000
0.162 0.838 0.000
```

Output
total moment	0.91	μB per formula unit
symmetry	C2/m

---

#2
Li3Pt2O6 | PBE | relaxed

POSCAR file:
```
Li3Pt2O6
1.0
0.451 4.324 2.794
3.331 -0.991 -3.963
-8.274 1.917 -5.504
Pt O Li
4 12 6
Direct
0.818 0.160 0.500
0.151 0.829 0.503
0.987 0.014 0.237
0.175 0.840 0.985
0.929 0.559 0.619
0.566 0.920 0.619
0.058 0.409 0.379
0.392 0.114 0.394
0.241 0.225 0.117
0.432 0.074 0.884
0.928 0.638 0.122
0.132 0.475 0.886
0.748 0.772 0.368
0.767 0.709 0.865
0.211 0.208 0.616
0.558 0.938 0.148
0.699 0.299 0.773
0.293 0.611 0.218
0.673 0.350 0.230
0.520 0.520 0.539
0.490 0.466 0.974
0.395 0.707 0.771
```

Output
total moment	0.99	μB per formula unit
symmetry	P1

---

The data favor #1; the next most stable structure lies 110 meV per atom above it.